No. 1
The following is a PBEsol calculation of an optimized crystal structure of BePb2Se, from the Alexandria database.

```
8
Lattice="6.936 0.000 0.000 0.000 3.967 0.000 -2.237 0.000 6.753" Properties=species:S:1:pos:R:3 pbc="T T T"
Be 0.000 0.000 0.000
Be 3.468 1.983 0.000
Pb 1.171 1.983 1.435
Pb 0.060 0.000 5.318
Pb 4.639 0.000 1.435
Pb 3.528 1.983 5.318
Se -1.119 1.983 3.377
Se 2.349 0.000 3.377
```

Computed properties:
- uncorrected energy (eV per atom) = -3.73
- DOS(E_F) (states/eV/f.u.) = 2.0
- calculated volume (Å³/cell) = 185.8
- formation energy without anion corrections (eV/atom) = 0.2319
- total moment (Bohr magnetons per cell) = 0.000

***

No. 2
The following is a PBEsol calculation of an optimized crystal structure of BePbSe3, from the Alexandria database.

```
5
Lattice="5.333 0.000 0.000 0.000 5.333 0.000 0.000 0.000 5.333" Properties=species:S:1:pos:R:3 pbc="T T T"
Be 0.000 0.000 0.000
Pb 2.667 2.667 2.667
Se 0.000 2.667 2.667
Se 2.667 0.000 2.667
Se 2.667 2.667 0.000
```

Computed properties:
- uncorrected energy (eV per atom) = -2.83
- DOS(E_F) (states/eV/f.u.) = 5.4
- calculated volume (Å³/cell) = 151.7
- formation energy without anion corrections (eV/atom) = 1.0753
- total moment (Bohr magnetons per cell) = 0.027

***

No. 3
The following is a PBEsol calculation of an optimized crystal structure of BeSiPb2, from the Alexandria database.

```
16
Lattice="7.083 0.000 0.000 0.000 7.083 0.000 0.000 0.000 7.083" Properties=species:S:1:pos:R:3 pbc="T T T"
Be 0.000 0.000 0.000
Be 0.000 3.542 3.542
Be 3.542 0.000 3.542
Be 3.542 3.542 0.000
Si 1.771 1.771 5.313
Si 1.771 5.313 1.771
Si 5.313 1.771 1.771
Si 5.313 5.313 5.313
Pb 0.000 0.000 3.542
Pb 0.000 3.542 0.000
Pb 1.771 1.771 1.771
Pb 1.771 5.313 5.313
Pb 3.542 0.000 0.000
Pb 3.542 3.542 3.542
Pb 5.313 1.771 5.313
Pb 5.313 5.313 1.771
```

Computed properties:
- uncorrected energy (eV per atom) = -3.66
- DOS(E_F) (states/eV/f.u.) = 2.0
- calculated volume (Å³/cell) = 355.4
- formation energy without anion corrections (eV/atom) = 0.7714
- total moment (Bohr magnetons per cell) = 0.000

***

No. 4
The following is a PBEsol calculation of an optimized crystal structure of BeSiPb3, from the Alexandria database.

```
5
Lattice="5.320 0.000 0.000 0.000 5.320 0.000 0.000 0.000 5.320" Properties=species:S:1:pos:R:3 pbc="T T T"
Be 0.000 0.000 0.000
Si 2.660 2.660 2.660
Pb 0.000 2.660 2.660
Pb 2.660 0.000 2.660
Pb 2.660 2.660 0.000
```

Computed properties:
- uncorrected energy (eV per atom) = -3.32
- DOS(E_F) (states/eV/f.u.) = 3.6
- calculated volume (Å³/cell) = 150.6
- formation energy without anion corrections (eV/atom) = 1.0275
- total moment (Bohr magnetons per cell) = 0.000

***

No. 5
The following is a PBEsol calculation of an optimized crystal structure of TaBe2Pb, from the Alexandria database.

```
16
Lattice="6.392 0.000 0.000 0.000 6.392 0.000 0.000 0.000 6.392" Properties=species:S:1:pos:R:3 pbc="T T T"
Ta 0.000 0.000 0.000
Ta 0.000 3.196 3.196
Ta 3.196 0.000 3.196
Ta 3.196 3.196 0.000
Be 0.000 0.000 3.196
Be 0.000 3.196 0.000
Be 1.598 1.598 1.598
Be 1.598 4.794 4.794
Be 3.196 0.000 0.000
Be 3.196 3.196 3.196
Be 4.794 1.598 4.794
Be 4.794 4.794 1.598
Pb 1.598 1.598 4.794
Pb 1.598 4.794 1.598
Pb 4.794 1.598 1.598
Pb 4.794 4.794 4.794
```

Computed properties:
- uncorrected energy (eV per atom) = -5.05
- formation enthalpy at 0 K (eV per atom) = 1.091
- DOS(E_F) (states/eV/f.u.) = 3.7
- calculated volume (Å³/cell) = 261.1
- total moment (Bohr magnetons per cell) = 3.507

***

No. 6
The following is a PBEsol calculation of an optimized crystal structure of TaBe2Pb, from the Alexandria database.

```
4
Lattice="3.347 0.000 0.000 0.000 3.347 0.000 0.000 0.000 5.678" Properties=species:S:1:pos:R:3 pbc="T T T"
Ta 0.000 0.000 0.000
Be 1.673 1.673 1.002
Be 1.673 1.673 4.675
Pb 0.000 0.000 2.839
```

Computed properties:
- uncorrected energy (eV per atom) = -5.71
- formation enthalpy at 0 K (eV per atom) = 0.430
- DOS(E_F) (states/eV/f.u.) = 2.2
- calculated volume (Å³/cell) = 63.6
- total moment (Bohr magnetons per cell) = 0.000

***

No. 7
The following is a PBEsol calculation of an optimized crystal structure of TaBe2Pb, from the Alexandria database.

```
8
Lattice="3.943 0.000 0.000 0.000 4.786 0.000 0.000 0.000 6.510" Properties=species:S:1:pos:R:3 pbc="T T T"
Ta 0.000 0.000 0.000
Ta 1.972 2.393 0.000
Be 0.000 0.000 4.087
Be 0.000 2.393 4.998
Be 1.972 0.000 4.998
Be 1.972 2.393 4.087
Pb 0.000 2.393 2.221
Pb 1.972 0.000 2.221
```

Computed properties:
- uncorrected energy (eV per atom) = -5.64
- formation enthalpy at 0 K (eV per atom) = 0.497
- DOS(E_F) (states/eV/f.u.) = 1.2
- calculated volume (Å³/cell) = 122.8
- total moment (Bohr magnetons per cell) = 0.000

***

No. 8
The following is a PBEsol calculation of an optimized crystal structure of TaBe2Pb, from the Alexandria database.

```
8
Lattice="3.633 0.000 0.000 0.000 3.633 0.000 0.000 0.000 8.922" Properties=species:S:1:pos:R:3 pbc="T T T"
Ta 0.000 0.000 0.000
Ta 1.816 1.816 4.461
Be 0.000 0.000 4.461
Be 0.000 1.816 2.230
Be 1.816 0.000 6.691
Be 1.816 1.816 0.000
Pb 0.000 1.816 6.691
Pb 1.816 0.000 2.230
```

Computed properties:
- uncorrected energy (eV per atom) = -5.77
- formation enthalpy at 0 K (eV per atom) = 0.368
- DOS(E_F) (states/eV/f.u.) = 1.0
- calculated volume (Å³/cell) = 117.7
- total moment (Bohr magnetons per cell) = 0.000

***

Which formula does entry 5 have?
TaBe2Pb

***

Number 6 is which compound?
TaBe2Pb

***

Which value of DOS(E_F) does entry 6 give?
2.2 states/eV/f.u.